MgCuAg2 PBEsol optimized geometry; D(E_F) = 1.352 states/eV per cell; total moment = 0.0 μB/f.u.; E_tot = -3.2524 eV per atom
1.0
3.9012 0.0000 0.0000
0.0000 3.9912 0.0000
0.0000 0.0000 3.9912
Ag Mg Cu
2 1 1
Direct
0.0000 0.0000 0.5000 Ag
0.0000 0.5000 0.0000 Ag
0.5000 0.0000 0.0000 Mg
0.5000 0.5000 0.5000 Cu

MgCuAg2 PBEsol optimized geometry; D(E_F) = 1.312 states/eV per cell; total moment = 0.0 μB/f.u.; E_tot = -3.2575 eV per atom
1.0
-1.5751 -0.1966 3.6924
0.9116 -3.9107 0.1807
3.7637 2.9235 -0.4262
Cu Ag Mg
1 2 1
Direct
0.0000 0.5000 0.0000 Cu
0.2500 0.2500 0.5000 Ag
0.7500 0.7500 0.5000 Ag
0.5000 0.0000 0.0000 Mg